# 1
## CoIrRh2 (meta-GGA SCAN)

Data for a crystal of CoIrRh2 relaxed with PBEsol.

## Properties
* ΔE to the lowest computed polymorph: 58 meV per atom
* formation energy from the elements: 0.0409 eV/atom
* E_tot: -155.78 eV for the cell shown

Cell lengths 2.654, 2.654, 8.646 Å; angles 81.17, 81.17, 60.00 degrees
Last column: magnetic moment on the atom in μB.
Sites, in units of the cell vectors:
Co 0.500 0.500 0.500  2.04
Ir 0.000 0.000 0.000  -0.08
Rh 0.247 0.247 0.260  0.26
Rh 0.753 0.753 0.740  0.26



# 2
## Co2IrRh (meta-GGA SCAN)

Data for a crystal of Co2IrRh relaxed with PBEsol.

## Properties
* ΔE to the lowest computed polymorph: 27 meV per atom
* formation energy from the elements: 0.0595 eV/atom
* E_tot: -139.24 eV for the cell shown

Cell lengths 2.633, 2.633, 7.011 Å; angles 90.00, 90.00, 90.00 degrees
Last column: magnetic moment on the atom in μB.
Sites, in units of the cell vectors:
Rh 0.500 0.500 0.761  0.23
Ir 0.000 0.000 0.489  0.11
Co 0.000 0.000 0.015  1.97
Co 0.500 0.500 0.235  1.86



# 3
## Co2IrRh (meta-GGA SCAN)

Data for a crystal of Co2IrRh relaxed with PBEsol.

## Properties
* ΔE to the lowest computed polymorph: 21 meV per atom
* formation energy from the elements: 0.0538 eV/atom
* E_tot: -139.26 eV for the cell shown

Cell lengths 2.612, 4.409, 4.531 Å; angles 99.80, 90.00, 107.23 degrees
Last column: magnetic moment on the atom in μB.
Sites, in units of the cell vectors:
Rh 0.500 0.000 0.000  0.60
Ir 0.000 0.000 0.500  0.54
Co 0.749 0.498 0.747  2.06
Co 0.251 0.502 0.253  2.06



# 4
## CoIrRh2 (meta-GGA SCAN)

Data for a crystal of CoIrRh2 relaxed with PBEsol.

## Properties
* ΔE to the lowest computed polymorph: 38 meV per atom
* formation energy from the elements: 0.0209 eV/atom
* E_tot: -155.86 eV for the cell shown

Cell lengths 2.657, 2.657, 7.281 Å; angles 90.00, 90.00, 90.00 degrees
Last column: magnetic moment on the atom in μB.
Sites, in units of the cell vectors:
Rh 0.000 0.000 0.000  -0.17
Rh 0.500 0.500 0.262  0.37
Ir 0.500 0.500 0.739  0.13
Co 0.000 0.000 0.500  1.92



# 5
## CoIrRh2 (meta-GGA SCAN)

Data for a crystal of CoIrRh2 relaxed with PBEsol.

## Properties
* ΔE to the lowest computed polymorph: 0 meV per atom
* formation energy from the elements: -0.0173 eV/atom
* E_tot: -156.02 eV for the cell shown

Cell lengths 3.726, 3.726, 4.551 Å; angles 114.16, 114.16, 90.00 degrees
Last column: magnetic moment on the atom in μB.
Sites, in units of the cell vectors:
Rh 0.000 0.000 0.000  0.04
Rh 0.750 0.250 0.500  0.33
Ir 0.250 0.750 0.500  0.24
Co 0.500 0.500 0.000  2.04



# 6
## Co2IrRh (meta-GGA SCAN)

Data for a crystal of Co2IrRh relaxed with PBEsol.

## Properties
* ΔE to the lowest computed polymorph: 19 meV per atom
* formation energy from the elements: 0.0518 eV/atom
* E_tot: -139.27 eV for the cell shown

Cell lengths 3.603, 3.603, 4.482 Å; angles 113.70, 113.70, 90.00 degrees
Last column: magnetic moment on the atom in μB.
Sites, in units of the cell vectors:
Rh 0.250 0.750 0.500  0.04
Ir 0.500 0.500 0.000  0.22
Co 0.000 0.000 0.000  1.74
Co 0.750 0.250 0.500  1.86